Model 1:
AlHgAs2: relaxed, PBEsol.

```
data_AlHgAs2
_cell_length_a 4.267
_cell_length_b 3.713
_cell_length_c 5.655
_cell_angle_alpha 90.00
_cell_angle_beta 111.12
_cell_angle_gamma 90.00
_space_group_name_H-M_alt 'P 1 2/m 1'
_space_group_IT_number 10
loop_
_space_group_symop_operation_xyz
'x,y,z'
'-x,-y,-z'
'-x,y,-z'
'x,-y,z'
loop_
_atom_site_label
_atom_site_type_symbol
_atom_site_fract_x
_atom_site_fract_y
_atom_site_fract_z
_atom_site_occupancy
Al1 Al 0.000 0.000 0.000 1
Hg1 Hg 0.500 0.000 0.500 1
As1 As 0.256 0.500 0.802 1
```

=====

Model 2:
AlHgAs2: relaxed, PBEsol.

```
data_AlHgAs2
_cell_length_a 5.857
_cell_length_b 8.816
_cell_length_c 3.123
_cell_angle_alpha 90.00
_cell_angle_beta 105.50
_cell_angle_gamma 90.00
_space_group_name_H-M_alt 'C 1 2/m 1'
_space_group_IT_number 12
loop_
_space_group_symop_operation_xyz
'x,y,z'
'-x,-y,-z'
'-x,y,-z'
'x,-y,z'
'x+1/2,y+1/2,z'
'-x+1/2,-y+1/2,-z'
'-x+1/2,y+1/2,-z'
'x+1/2,-y+1/2,z'
loop_
_atom_site_label
_atom_site_type_symbol
_atom_site_fract_x
_atom_site_fract_y
_atom_site_fract_z
_atom_site_occupancy
Al1 Al 0.000 0.000 0.000 1
Hg1 Hg 0.000 0.500 0.000 1
As1 As 0.250 0.250 0.500 1
```

=====

What are the relative energies? In eV/atom: model 1 0.000; model 2 0.237.